(1)
VASP calculation (PBE-GGA) on a relaxed MgNb2Rh3 crystal.

POSCAR file:
```
MgNb2Rh3
1.0
-2.472 -1.340 0.967
1.602 -2.370 0.813
1.458 4.314 9.703
Nb Rh Mg
2 3 1
direct
0.500 0.500 0.825
0.500 0.500 0.175
0.000 0.000 0.339
0.000 0.000 0.661
0.000 0.000 0.000
0.500 0.500 0.500
```

Results
Magnetization = 0.0 μB per cell
SG = No. 123
Raw total energy = -7.7568 eV/atom
Volume = 15.80 Å³ per atom
Formation energy = -0.459 eV/atom
Crystal system = tetragonal

***

(2)
VASP calculation (PBE-GGA) on a relaxed MnCl4 crystal.

POSCAR file:
```
MnCl4
1.0
-4.357 1.595 1.302
-1.514 -0.414 -4.556
-1.396 -4.529 0.875
Cl Mn
4 1
direct
0.000 0.000 0.000
0.500 0.500 0.000
0.000 0.500 0.500
0.500 0.000 0.500
0.500 0.500 0.500
```

Results
Magnetization = 5.4 μB per cell
SG = No. 221
Raw total energy = -3.6517 eV/atom
Uncorrected formation energy = -340 meV per atom
Volume = 22.38 Å³ per atom
Crystal system = cubic

***

(3)
VASP calculation (PBE-GGA) on a relaxed Nd2DyPd9 crystal.

POSCAR file:
```
Nd2DyPd9
1.0
-2.901 -0.594 2.954
2.795 -2.060 2.331
3.358 10.734 5.456
Pd Dy Nd
9 1 2
direct
0.500 0.000 0.500
0.000 0.500 0.162
0.500 0.000 0.162
0.500 0.500 0.668
0.000 0.500 0.500
0.000 0.500 0.838
0.500 0.000 0.838
0.500 0.500 0.332
0.500 0.500 0.000
0.000 0.000 0.000
0.000 0.000 0.330
0.000 0.000 0.670
```

Results
Magnetization = 0.0 μB per cell
SG = No. 123
Raw total energy = -5.8716 eV/atom
Volume = 18.22 Å³ per atom
Formation energy = -0.799 eV/atom
Crystal system = tetragonal

***

(4)
VASP calculation (PBE-GGA) on a relaxed PmZn4Tc crystal.

POSCAR file:
```
PmZn4Tc
1.0
5.207 0.000 0.000
2.604 4.510 0.000
2.604 1.503 4.252
Zn Tc Pm
4 1 1
direct
0.120 0.627 0.627
0.627 0.627 0.627
0.627 0.627 0.120
0.627 0.120 0.627
0.000 0.000 0.000
0.250 0.250 0.250
```

Results
Magnetization = 0.6 μB per cell
SG = No. 216
Raw total energy = -3.4838 eV/atom
Volume = 16.64 Å³ per atom
Formation energy = -0.115 eV/atom
Crystal system = cubic

***

(5)
VASP calculation (PBE-GGA) on a relaxed Mg4PbN2 crystal.

POSCAR file:
```
Mg4PbN2
1.0
5.428 0.000 0.000
0.000 5.428 0.000
2.714 2.714 5.478
Mg N Pb
4 2 1
direct
0.000 0.500 0.000
0.738 0.738 0.524
0.500 0.000 0.000
0.262 0.262 0.476
0.557 0.557 0.886
0.443 0.443 0.114
0.000 0.000 0.000
```

Results
Magnetization = 1.2 μB per cell
SG = No. 139
Raw total energy = -3.5051 eV/atom
Uncorrected formation energy = 315 meV per atom
Volume = 23.06 Å³ per atom
Crystal system = tetragonal

***

(6)
VASP calculation (PBE-GGA) on a relaxed TbAlAs crystal.

POSCAR file:
```
TbAlAs
1.0
4.732 0.000 0.000
2.366 4.098 0.000
2.366 1.366 7.814
As Tb Al
2 2 2
direct
0.284 0.284 0.149
0.716 0.716 0.851
0.412 0.412 0.765
0.588 0.588 0.235
0.177 0.177 0.469
0.823 0.823 0.531
```

Results
Magnetization = 0.0 μB per cell
SG = No. 166
Raw total energy = -5.0309 eV/atom
Volume = 25.25 Å³ per atom
Formation energy = -0.690 eV/atom
Crystal system = trigonal

***

(7)
VASP calculation (PBE-GGA) on a relaxed CeNdBi2 crystal.

POSCAR file:
```
CeNdBi2
1.0
5.604 0.000 0.000
2.802 4.853 0.000
2.802 1.618 4.575
Nd Ce Bi
1 1 2
direct
0.500 0.500 0.500
0.000 0.000 0.000
0.750 0.750 0.750
0.250 0.250 0.250
```

Results
Magnetization = 1.4 μB per cell
Energy relative to the lowest polymorph listed for this composition = 0.2044 eV per atom
SG = No. 225
Raw total energy = -5.2864 eV/atom
Volume = 31.11 Å³ per atom
Formation energy = -0.671 eV/atom
Crystal system = cubic

***

(8)
VASP calculation (PBE-GGA) on a relaxed Sc3CoPt2 crystal.

POSCAR file:
```
Sc3CoPt2
1.0
-4.477 -1.047 -0.199
-0.740 -6.256 -3.634
0.523 -3.286 5.551
Pt Sc Co
4 6 2
direct
0.665 0.671 0.500
0.335 0.329 0.500
0.000 0.000 0.000
0.000 0.000 0.500
0.500 0.000 0.246
0.500 0.000 0.754
0.170 0.660 0.758
0.830 0.340 0.242
0.170 0.660 0.242
0.830 0.340 0.758
0.668 0.665 0.000
0.332 0.335 0.000
```

Results
Magnetization = 0.9 μB per cell
SG = No. 65
Raw total energy = -7.3137 eV/atom
Volume = 17.12 Å³ per atom
Formation energy = -0.950 eV/atom
Crystal system = orthorhombic